## A
Compound: BaCo2BF
Source: Alexandria via LeMat-Bulk
Functional: GGA+U
Structure: relaxed

Results
SG: P4/mmm
Mass density in g/cm3: 5.2
Total magnetization in μB/f.u.: 2.1

Unit cell a=3.8087 b=3.8087 c=6.2207 alpha=90.00 beta=90.00 gamma=90.00
Last column: nearest neighbours and their distance in Å.
Fractional coordinates of all 5 atoms:
Ba1 0.0000 0.0000 0.0000  4 F 2.69
Co1 0.0000 0.5000 0.5000  2 B 1.90
Co2 0.5000 0.0000 0.5000  2 B 1.90
B1 0.5000 0.5000 0.5000  4 Co 1.90
F1 0.5000 0.5000 0.0000  4 Ba 2.69

## B
Compound: BaCo2BF
Source: Alexandria via LeMat-Bulk
Functional: GGA+U
Structure: relaxed

Results
SG: P4/mmm
Mass density in g/cm3: 5.1
Total magnetization in μB/f.u.: 2.3

Unit cell a=3.8213 b=3.8213 c=6.3308 alpha=90.00 beta=90.00 gamma=90.00
Last column: nearest neighbours and their distance in Å.
Fractional coordinates of all 5 atoms:
Ba1 0.0000 0.0000 0.0000  4 F 2.70
Co1 0.0000 0.5000 0.5000  2 B 1.91
Co2 0.5000 0.0000 0.5000  2 B 1.91
B1 0.0000 0.0000 0.5000  4 Co 1.91
F1 0.5000 0.5000 0.0000  4 Ba 2.70

Stability ranking, top and bottom: B is the most stable and A is the least stable.